Record 1
A geometry-optimized LaZrNi3 structure, computed with PBE-GGA.

Values from the calculation:
space group	Pm-3m, No. 221
DOS at the Fermi energy	2.71	states/eV/f.u.
energy relative to the elements	272.1	meV/atom
total moment	0.000	μB per cell

a = 4.742 Å, b = 4.742 Å, c = 4.742 Å
α = 90.00°, β = 90.00°, γ = 90.00°
Atoms (fractional coordinates):
La: 0.000 0.000 0.000
Zr: 0.500 0.500 0.500
Ni: 0.000 0.500 0.500
Ni: 0.500 0.000 0.500
Ni: 0.500 0.500 0.000

***

Record 2
A geometry-optimized V5Ni8Pt structure, computed with PBE-GGA.

Values from the calculation:
space group	I-4, No. 82
DOS at the Fermi energy	16.11	states/eV/f.u.
energy relative to the elements	46.7	meV/atom
total moment	0.000	μB per cell

a = 6.129 Å, b = 6.129 Å, c = 6.129 Å
α = 110.37°, β = 110.37°, γ = 107.68°
Atoms (fractional coordinates):
V: 0.000 0.000 0.000
V: 0.200 0.267 0.639
V: 0.439 0.800 0.067
V: 0.628 0.561 0.361
V: 0.733 0.372 0.933
Ni: 0.159 0.413 0.043
Ni: 0.370 0.116 0.957
Ni: 0.447 0.175 0.409
Ni: 0.587 0.630 0.747
Ni: 0.765 0.038 0.591
Ni: 0.825 0.235 0.272
Ni: 0.884 0.841 0.253
Ni: 0.962 0.553 0.728
Pt: 0.250 0.750 0.500

***

Record 3
A geometry-optimized ErLuMnAg structure, computed with PBE-GGA.

Values from the calculation:
space group	F-43m, No. 216
DOS at the Fermi energy	3.85	states/eV/f.u.
energy relative to the elements	-27.6	meV/atom
total moment	3.505	μB per cell

a = 5.016 Å, b = 5.016 Å, c = 5.016 Å
α = 60.00°, β = 60.00°, γ = 60.00°
Atoms (fractional coordinates):
Er: 0.000 0.000 0.000
Lu: 0.500 0.500 0.500
Mn: 0.750 0.750 0.750
Ag: 0.250 0.250 0.250

***

Record 4
A geometry-optimized NaScH structure, computed with PBE-GGA.

Values from the calculation:
space group	Cm, No. 8
DOS at the Fermi energy	1.15	states/eV/f.u.
total DFT energy (no corrections)	-0.281	Ry per atom
total moment	0.939	μB per cell

a = 3.333 Å, b = 3.333 Å, c = 12.185 Å
α = 98.18°, β = 98.18°, γ = 60.17°
Atoms (fractional coordinates):
Na: 0.000 0.000 0.000
Na: 0.739 0.739 0.262
Sc: 0.165 0.165 0.520
Sc: 0.578 0.578 0.742
H: 0.808 0.808 0.454
H: 0.935 0.935 0.808

***

Record 5
A geometry-optimized TmLuTlPb structure, computed with PBE-GGA.

Values from the calculation:
space group	F-43m, No. 216
DOS at the Fermi energy	4.56	states/eV/f.u.
energy relative to the elements	-277.2	meV/atom
total moment	0.004	μB per cell

a = 5.354 Å, b = 5.354 Å, c = 5.354 Å
α = 60.00°, β = 60.00°, γ = 60.00°
Atoms (fractional coordinates):
Tm: 0.000 0.000 0.000
Lu: 0.500 0.500 0.500
Tl: 0.250 0.250 0.250
Pb: 0.750 0.750 0.750

***

Record 6
A geometry-optimized Cu2TeSe structure, computed with PBE-GGA.

Values from the calculation:
space group	Cm, No. 8
DOS at the Fermi energy	2.31	states/eV/f.u.
energy relative to the elements, uncorrected	-12	meV per atom
total moment	0.000	μB per cell

a = 4.309 Å, b = 4.309 Å, c = 5.880 Å
α = 108.00°, β = 108.00°, γ = 50.65°
Atoms (fractional coordinates):
Cu: 0.000 0.000 0.000
Cu: 0.242 0.242 0.829
Te: 0.769 0.769 0.220
Se: 0.476 0.476 0.652